# 1
First-principles (PBE-GGA) data for a relaxed NaZnIn2Cl5 crystal, as listed in Alexandria via LeMat-Bulk.

Lattice parameters (Å, degrees): 3.9702 9.7280 13.9737 90.00 90.00 101.77
With the nearest neighbours (Å) after each atom.
Fractional coordinates of all 18 atoms:
In 0.8559 0.7118 0.8282  6 Cl 3.20-3.26
In 0.1441 0.2882 0.3282  6 Cl 3.20-3.26
In 0.8636 0.7272 0.1662  3 Cl 2.95-2.97
Cl 0.7079 0.4158 0.1712  2 Na 2.77, 1 In 2.97
Zn 0.4468 0.8936 0.4194  4 Cl 2.23-2.39
Cl 0.6715 0.3429 0.8929  1 Zn 2.28
Cl 0.3285 0.6571 0.3929  1 Zn 2.28
Cl 0.4860 0.9720 0.7885  1 Zn 2.23
Na 0.8023 0.6046 0.5336  6 Cl 2.77-3.10
Cl 0.9644 0.9287 0.5117  2 Zn 2.39
Cl 0.0356 0.0713 0.0117  2 Zn 2.39
Cl 0.5140 0.0280 0.2885  1 Zn 2.23
Na 0.1977 0.3954 0.0336  6 Cl 2.77-3.10
Zn 0.5532 0.1064 0.9194  4 Cl 2.23-2.39
Cl 0.6573 0.3146 0.5123  1 Na 2.78, 2 In 2.95
Cl 0.2921 0.5842 0.6712  2 Na 2.77, 1 In 2.97
Cl 0.3427 0.6854 0.0123  1 Na 2.78, 2 In 2.95
In 0.1364 0.2728 0.6662  3 Cl 2.95-2.97

Calculated values
E_form (uncorrected)   -1.14 eV per atom
Space-group type   Cmc2_1, No. 36

***

# 2
First-principles (PBE-GGA) data for a relaxed Na3ZnIn3Cl8 crystal, as listed in Alexandria via LeMat-Bulk.

Lattice parameters (Å, degrees): 8.1467 8.1480 8.7925 117.62 90.00 119.99
With the nearest neighbours (Å) after each atom.
Fractional coordinates of all 15 atoms:
In 0.0000 0.0000 0.0000  6 Cl 3.19-3.20
Cl 0.7878 0.5757 0.3080  1 Zn 2.53
In 0.0000 0.5000 0.0000  6 Cl 3.19-3.20
In 0.5000 0.5000 0.0000  6 Cl 3.19-3.20
Cl 0.2122 0.4243 0.6920  1 Zn 2.53
Cl 0.2121 0.9801 0.6919  1 Zn 2.53
Cl 0.7879 0.0199 0.3081  1 Zn 2.53
Cl 0.7680 0.9801 0.6919  1 Zn 2.53
Cl 0.2320 0.0199 0.3081  1 Zn 2.53
Na 0.5000 0.5000 0.5000  6 Cl 2.82-2.87
Cl 0.7367 0.4735 0.7099  3 Na 2.82
Cl 0.2633 0.5265 0.2901  3 Na 2.82
Na 0.0000 0.5000 0.5000  6 Cl 2.82-2.87
Na 0.5000 0.0000 0.5000  6 Cl 2.82-2.87
Zn 0.0000 0.0000 0.5000  6 Cl 2.53

Calculated values
E_form (uncorrected)   -1.24 eV per atom
Space-group type   R-3m, No. 166

***

# 3
First-principles (PBE-GGA) data for a relaxed NbIn2Cl crystal, as listed in Alexandria via LeMat-Bulk.

Lattice parameters (Å, degrees): 7.9315 7.9315 6.3727 51.52 51.52 90.00
With the nearest neighbours (Å) after each atom.
Fractional coordinates of all 8 atoms:
Nb 0.7500 0.2500 0.5000  4 In 2.86, 2 Cl 3.03
In 0.6330 0.1250 0.2500  2 Nb 2.86, 2 Cl 2.95, 2 In 3.03
In 0.1170 0.6250 0.2500  2 Nb 2.86, 2 Cl 2.95, 2 In 3.03
In 0.8750 0.8830 0.7500  2 Nb 2.86, 2 Cl 2.95, 2 In 3.03
Cl 0.5000 0.5000 0.0000  4 In 2.95, 2 Nb 3.03
In 0.3750 0.3670 0.7500  2 Nb 2.86, 2 Cl 2.95, 2 In 3.03
Nb 0.0000 0.0000 0.0000  4 In 2.86, 2 Cl 3.03
Cl 0.2500 0.7500 0.5000  4 In 2.95, 2 Nb 3.03

Calculated values
E_form (uncorrected)   0.45 eV per atom
Energy above the lowest structure with this stoichiometry   0 meV per atom
Space-group type   I-42d, No. 122

***

# 4
First-principles (PBE-GGA) data for a relaxed NbInCl2 crystal, as listed in Alexandria via LeMat-Bulk.

Lattice parameters (Å, degrees): 5.1390 5.1390 9.1635 73.72 73.72 90.00
With the nearest neighbours (Å) after each atom.
Fractional coordinates of all 8 atoms:
Nb 0.2500 0.7500 0.5000  4 Cl 2.62
Cl 0.3750 0.4541 0.7500  2 Nb 2.62
In 0.7500 0.2500 0.5000  4 Cl 2.99
Nb 0.5000 0.5000 0.0000  4 Cl 2.62
Cl 0.8750 0.7959 0.7500  2 Nb 2.62
In 0.0000 0.0000 0.0000  4 Cl 2.99
Cl 0.2041 0.6250 0.2500  2 Nb 2.62
Cl 0.5459 0.1250 0.2500  2 Nb 2.62

Calculated values
E_form (uncorrected)   0.02 eV per atom
Energy above the lowest structure with this stoichiometry   656 meV per atom
Space-group type   I-42d, No. 122